Entry 1:
InSiCl3 | PBEsol | optimized geometry

## Properties
Energy = -2.959 eV/atom
Formation energy from raw total energies = -0.04 eV/f.u.
N(E_F) = 3.6 states/eV/f.u.
Crystal system = cubic

POSCAR file:
```
InSiCl3
1.0
5.135 0.000 0.000
0.000 5.135 0.000
0.000 0.000 5.135
In Si Cl
1 1 3
Cartesian
0.000 0.000 0.000
2.567 2.567 2.567
0.000 0.000 2.567
0.000 2.567 0.000
2.567 0.000 0.000
```

---

Entry 2:
InSi2Cl | PBEsol | optimized geometry

## Properties
Energy = -3.784 eV/atom
Formation energy from raw total energies = 1.35 eV/f.u.
N(E_F) = 1.5 states/eV/f.u.
Crystal system = orthorhombic

POSCAR file:
```
InSi2Cl
1.0
1.527 -2.632 0.000
1.527 2.632 0.000
0.000 0.000 9.365
In Si Cl
1 2 1
Cartesian
0.000 0.000 0.000
1.527 0.000 2.541
1.527 0.000 6.824
0.000 0.000 4.683
```

---

Entry 3:
In2SiCl | PBEsol | optimized geometry

## Properties
Energy relative to the lowest polymorph listed for this composition = 129 meV per atom
Energy = -3.440 eV/atom
Formation energy from raw total energies = -0.04 eV/f.u.
N(E_F) = 1.6 states/eV/f.u.
Crystal system = tetragonal

POSCAR file:
```
In2SiCl
1.0
3.404 0.000 0.000
0.000 3.404 0.000
0.000 0.000 7.614
In Si Cl
2 1 1
Cartesian
0.000 0.000 1.736
0.000 0.000 5.877
1.702 1.702 0.000
1.702 1.702 3.807
```

---

Entry 4:
In4SiCl | PBEsol | optimized geometry

## Properties
Energy = -3.032 eV/atom
Formation energy from raw total energies = 1.50 eV/f.u.
N(E_F) = 2.9 states/eV/f.u.
Crystal system = cubic

POSCAR file:
```
In4SiCl
1.0
0.000 4.222 4.222
4.222 0.000 4.222
4.222 4.222 0.000
In Si Cl
4 1 1
Cartesian
1.056 1.056 1.056
3.166 3.166 1.056
3.166 1.056 3.166
1.056 3.166 3.166
6.333 6.333 6.333
4.222 4.222 4.222
```

---

no.,total moment (μB/f.u.)
1,1.349
2,0.000
3,0.000
4,0.000